In2TcIr | PBE | relaxed

It has space group Pmmm (No. 47), with a = 3.080 Å, b = 4.557 Å, c = 5.123 Å, α = 90.00°, β = 90.00° and γ = 90.00°. The distinct sites, in fractional coordinates, are In at (0.000, 0.000, 0.000), In at (0.500, 0.000, 0.500), Tc at (0.000, 0.500, 0.500) and Ir at (0.500, 0.500, 0.000).

As for the formation energy: 0.378 eV per atom. The value obtained for the distance to the lowest polymorph of the same formula is 350 meV/atom. The uncorrected energy is -0.4261 Ry/atom.